[1]
# LaTl2Ir

Crystalline LaTl2Ir at its relaxed geometry (PBE, Alexandria).

```
LaTl2Ir
1.0
5.105 -0.353 0.073
3.298 3.912 0.073
2.931 1.242 4.994
Ir La Tl
1 1 2
Cartesian
5.819 2.465 3.542
2.668 1.130 1.352
2.947 1.248 4.636
8.499 3.600 3.176
```

Computed properties:
total magnetic moment = 0.00 μB per formula unit
energy relative to the elements = -0.194 eV per atom

***

[2]
# Bi2Te4Pb

Crystalline Bi2Te4Pb at its relaxed geometry (PBE, Alexandria).

```
Bi2Te4Pb
1.0
-1.212 -2.380 -3.581
4.645 -4.536 4.228
-12.197 -5.335 7.675
Bi Te Pb
4 8 2
Cartesian
-4.201 -3.943 4.043
-9.136 -10.309 7.158
0.372 -1.942 1.165
-4.563 -8.308 4.280
0.119 -4.977 0.480
-3.006 -6.343 2.447
-8.883 -7.275 7.842
-5.758 -5.908 5.876
-6.124 -10.337 6.157
-2.640 -1.914 2.166
-0.606 -1.190 -1.790
-6.705 -3.857 2.047
-9.017 -6.235 4.411
0.253 -6.016 3.912
```

Computed properties:
total magnetic moment = 0.00 μB per formula unit
formation energy without anion corrections = -230 meV per atom
energy above the lowest structure with this stoichiometry = 0.0583 eV per atom

***

[3]
# K3DyIn2O6

Crystalline K3DyIn2O6 at its relaxed geometry (PBE, Alexandria).

```
K3DyIn2O6
1.0
5.880 -0.001 0.001
-2.940 5.093 0.001
-0.980 -1.697 6.237
K Dy In O
3 1 2 6
Cartesian
-1.939 3.384 3.120
3.900 0.011 3.120
0.980 1.698 3.120
0.000 0.000 0.000
0.001 3.394 0.001
2.940 1.697 0.001
2.958 1.666 5.066
1.942 3.363 1.177
-0.998 1.729 1.173
-0.035 3.395 5.066
0.018 0.032 5.062
1.996 0.000 1.173
```

Computed properties:
total magnetic moment = 0.00 μB per formula unit
formation energy without anion corrections = -1948 meV per atom

***

[4]
# Ho2AgAu2

Crystalline Ho2AgAu2 at its relaxed geometry (PBE, Alexandria).

```
Ho2AgAu2
1.0
-2.411 2.450 -1.146
-9.500 -5.110 9.065
7.170 4.463 0.184
Ho Ag Au
4 2 4
Cartesian
-4.260 1.463 6.367
0.489 4.019 1.834
-0.481 0.340 1.737
-5.230 -2.216 6.270
-8.330 -2.608 6.226
-3.581 -0.052 1.693
-4.900 -0.214 4.124
-4.591 -0.538 8.512
0.159 2.017 3.980
-0.150 2.341 -0.408
```

Computed properties:
total magnetic moment = 0.00 μB per formula unit
energy relative to the elements = -0.391 eV per atom
energy above the lowest structure with this stoichiometry = 0.3089 eV per atom

***

[5]
# Ni2AsOs

Crystalline Ni2AsOs at its relaxed geometry (PBE, Alexandria).

```
Ni2AsOs
1.0
4.307 -0.061 0.000
0.770 4.238 0.000
-2.539 -2.089 2.783
As Ni Os
1 2 1
Cartesian
2.154 -0.030 1.392
0.000 0.000 0.000
0.385 2.119 1.392
2.539 2.089 0.000
```

Computed properties:
total magnetic moment = 0.00 μB per formula unit
energy relative to the elements = 0.142 eV per atom

***

[6]
# CeHoFe

Crystalline CeHoFe at its relaxed geometry (PBE, Alexandria).

```
CeHoFe
1.0
6.929 0.000 0.000
0.000 5.241 -2.935
0.000 -5.142 10.490
Ho Fe Ce
4 4 4
Cartesian
5.736 -2.740 6.604
4.658 2.452 -0.108
1.193 2.838 0.951
2.271 -2.353 7.663
2.417 -4.483 9.917
1.047 0.708 3.205
4.512 4.581 -2.362
5.882 -0.610 4.350
0.412 0.337 6.000
3.053 0.288 2.222
6.518 -0.239 1.556
3.877 -0.189 5.333
```

Computed properties:
total magnetic moment = 0.00 μB per formula unit
energy relative to the elements = -0.110 eV per atom
energy above the lowest structure with this stoichiometry = 0.0000 eV per atom

***

[7]
# Sm3DyEr12

Crystalline Sm3DyEr12 at its relaxed geometry (PBE, Alexandria).

```
Sm3DyEr12
1.0
-1.108 3.555 -3.323
-3.349 1.916 3.166
14.132 11.740 7.845
Sm Dy Er
3 1 12
Cartesian
3.525 2.929 1.957
7.066 5.870 3.923
10.607 8.812 5.888
0.000 0.000 0.000
-2.229 2.735 -0.079
1.292 5.660 1.876
4.837 8.605 3.844
8.383 11.551 5.812
1.197 3.232 -0.690
4.739 6.175 1.277
8.285 9.121 3.245
11.827 12.063 5.212
0.076 2.413 2.555
3.618 5.355 4.521
7.164 8.301 6.490
10.706 11.243 8.456
```

Computed properties:
total magnetic moment = 0.00 μB per formula unit
energy relative to the elements = 0.022 eV per atom

***

[8]
# Fe2PbAu

Crystalline Fe2PbAu at its relaxed geometry (PBE, Alexandria).

```
Fe2PbAu
1.0
3.958 0.000 0.000
0.000 2.988 0.062
0.000 2.811 6.052
Au Fe Pb
1 2 1
Cartesian
1.979 4.350 4.585
0.000 2.825 5.780
0.000 2.887 3.328
1.979 1.450 1.528
```

Computed properties:
total magnetic moment = 5.71 μB per formula unit
energy relative to the elements = 0.414 eV per atom

***

Among the records above, which one has the highest total magnetic moment? Fe2PbAu